First-principles (PBE-GGA) data for a geometry-optimized YInCuI2 structure, as listed in the Alexandria database. Values from VASP.

- crystal system = tetragonal
- volume (Å³/cell) = 152.0
- raw formation energy (meV/atom) = 107
- size of the total moment (Bohr magnetons per cell) = 0.57

Structure (Quantum ESPRESSO input):
```
&SYSTEM
  ibrav = 0, nat = 5, ntyp = 4
/
ATOMIC_SPECIES
Y 88.91 Y.upf
In 114.82 In.upf
Cu 63.55 Cu.upf
I 126.90 I.upf
CELL_PARAMETERS angstrom
5.350 0.000 0.000
0.000 5.350 0.000
0.000 0.000 5.310
ATOMIC_POSITIONS crystal
Y 0.000 0.000 0.000
In 0.500 0.500 0.000
Cu 0.500 0.500 0.500
I 0.000 0.500 0.500
I 0.500 0.000 0.500
```

***

First-principles (PBE-GGA) data for a geometry-optimized CuIr2I structure, as listed in the Alexandria database. Values from VASP.

- energy above the lowest structure with this stoichiometry (eV/atom) = 0.000
- crystal system = cubic
- volume (Å³/cell) = 260.9
- raw formation energy (meV/atom) = 928
- size of the total moment (Bohr magnetons per cell) = 1.39

Structure (Quantum ESPRESSO input):
```
&SYSTEM
  ibrav = 0, nat = 16, ntyp = 3
/
ATOMIC_SPECIES
Cu 63.55 Cu.upf
Ir 192.22 Ir.upf
I 126.90 I.upf
CELL_PARAMETERS angstrom
6.390 0.000 0.000
0.000 6.390 0.000
0.000 0.000 6.390
ATOMIC_POSITIONS crystal
Cu 0.000 0.000 0.000
Cu 0.000 0.500 0.500
Cu 0.500 0.000 0.500
Cu 0.500 0.500 0.000
Ir 0.250 0.250 0.250
Ir 0.250 0.250 0.750
Ir 0.250 0.750 0.250
Ir 0.250 0.750 0.750
Ir 0.750 0.250 0.250
Ir 0.750 0.250 0.750
Ir 0.750 0.750 0.250
Ir 0.750 0.750 0.750
I 0.000 0.000 0.500
I 0.000 0.500 0.000
I 0.500 0.000 0.000
I 0.500 0.500 0.500
```

***

First-principles (PBE-GGA) data for a geometry-optimized CuIr2I structure, as listed in the Alexandria database. Values from VASP.

- energy above the lowest structure with this stoichiometry (eV/atom) = 0.333
- crystal system = tetragonal
- volume (Å³/cell) = 368.7
- raw formation energy (meV/atom) = 1262
- size of the total moment (Bohr magnetons per cell) = 0.00

Structure (Quantum ESPRESSO input):
```
&SYSTEM
  ibrav = 0, nat = 16, ntyp = 3
/
ATOMIC_SPECIES
Cu 63.55 Cu.upf
Ir 192.22 Ir.upf
I 126.90 I.upf
CELL_PARAMETERS angstrom
5.729 0.000 0.000
0.000 5.729 0.000
0.000 0.000 11.232
ATOMIC_POSITIONS crystal
Cu 0.000 0.000 0.000
Cu 0.000 0.500 0.250
Cu 0.500 0.000 0.750
Cu 0.500 0.500 0.500
Ir 0.233 0.250 0.125
Ir 0.250 0.733 0.375
Ir 0.250 0.767 0.875
Ir 0.267 0.250 0.625
Ir 0.733 0.750 0.625
Ir 0.750 0.233 0.875
Ir 0.750 0.267 0.375
Ir 0.767 0.750 0.125
I 0.000 0.000 0.500
I 0.000 0.500 0.750
I 0.500 0.000 0.250
I 0.500 0.500 0.000
```

***

First-principles (PBE-GGA) data for a geometry-optimized Cu3IrI structure, as listed in the Alexandria database. Values from VASP.

- energy above the lowest structure with this stoichiometry (eV/atom) = 0.000
- crystal system = cubic
- volume (Å³/cell) = 107.3
- raw formation energy (meV/atom) = 975
- size of the total moment (Bohr magnetons per cell) = 0.00

Structure (Quantum ESPRESSO input):
```
&SYSTEM
  ibrav = 0, nat = 5, ntyp = 3
/
ATOMIC_SPECIES
Cu 63.55 Cu.upf
Ir 192.22 Ir.upf
I 126.90 I.upf
CELL_PARAMETERS angstrom
4.751 0.000 0.000
0.000 4.751 0.000
0.000 0.000 4.751
ATOMIC_POSITIONS crystal
Cu 0.000 0.000 0.500
Cu 0.000 0.500 0.000
Cu 0.500 0.000 0.000
Ir 0.000 0.000 0.000
I 0.500 0.500 0.500
```